(1)
## NaHCN2 (GGA-PBE)

Data for NaHCN2 after structural relaxation.

abc: 3.5618 10.4545 6.5770
angles: 90.00 90.00 90.00
Space group Pbcm (No. 57)
One atom of each set of equivalent atoms:
Na  0.2459  0.2500  0.0000 (multiplicity 4)
H  0.1625  0.5892  0.2500 (multiplicity 4)
C  0.1961  0.5480  0.7500 (multiplicity 4)
N  0.1207  0.0716  0.2500 (multiplicity 4)
N  0.2928  0.6582  0.7500 (multiplicity 4)

Results
calculated volume	12.2	A^3/atom
offset from the most stable computed form	0	meV/atom
M_tot	0.000	μB/f.u.

---

(2)
## NaH2CN (GGA-PBE)

Data for NaH2CN after structural relaxation.

abc: 3.4238 3.4238 5.7850
angles: 90.00 90.00 90.00
Space group P4/mmm (No. 123)
One atom of each set of equivalent atoms:
Na  0.0000  0.0000  0.0000 (multiplicity 1)
H  0.0000  0.5000  0.0000 (multiplicity 2)
C  0.0000  0.0000  0.5000 (multiplicity 1)
N  0.5000  0.5000  0.5000 (multiplicity 1)

Results
raw total energy	-11.6	eV for the cell shown
calculated volume	13.6	A^3/atom
M_tot	0.239	μB/f.u.